Mn2GeWN, optimized geometry, DFT PBE; total moment = 0.543 μB/atom; E_form (uncorrected) = -0.0850 eV/atom; uncorrected energy = -8.9320 eV per atom
1.0
3.8271 0.0000 0.0000
0.0000 3.8271 0.0000
0.0000 0.0000 4.1164
Ge Mn W N
1 2 1 1
Direct
0.5000 0.5000 0.5000
0.0000 0.5000 0.0000
0.5000 0.0000 0.0000
0.0000 0.0000 0.5000
0.0000 0.0000 0.0000